1.
{"formula": "CePaRe", "functional": "PBE-GGA", "state": "relaxed", "sg": "P3m1", "de_polymorph_mev_per_atom": 33, "cell": [[4.7281, 0.0000, 0.0000], [-2.3640, 4.0946, 0.0000], [0.0000, 0.0000, 3.3218]], "species": ["Ce", "Pa", "Re"], "frac_coords": [[0.0000, 0.0000, 0.0000], [0.3333, 0.6667, 0.6820], [0.6667, 0.3333, 0.3666]]}

***

2.
{"formula": "CePa2Re", "functional": "PBE-GGA", "state": "relaxed", "sg": "P4/mmm", "de_polymorph_mev_per_atom": 44, "cell": [[5.1534, 0.0000, 0.0000], [0.0000, 5.1534, 0.0000], [0.0000, 0.0000, 3.2845]], "species": ["Ce", "Pa", "Pa", "Re"], "frac_coords": [[0.0000, 0.0000, 0.0000], [0.0000, 0.5000, 0.5000], [0.5000, 0.0000, 0.5000], [0.5000, 0.5000, 0.0000]]}

***

3.
{"formula": "CePaRe2", "functional": "PBE-GGA", "state": "relaxed", "sg": "Fm-3m", "de_polymorph_mev_per_atom": 30, "cell": [[0.0000, 3.4689, 3.4689], [3.4689, 0.0000, 3.4689], [3.4689, 3.4689, 0.0000]], "species": ["Ce", "Pa", "Re", "Re"], "frac_coords": [[0.0000, 0.0000, 0.0000], [0.5000, 0.5000, 0.5000], [0.2500, 0.2500, 0.2500], [0.7500, 0.7500, 0.7500]]}

***

4.
{"formula": "Ce2PaRe", "functional": "PBE-GGA", "state": "relaxed", "sg": "R-3m", "cell": [[1.5546, 0.8975, 10.6440], [-1.5546, 0.8975, 10.6440], [0.0000, -1.7951, 10.6440]], "species": ["Ce", "Ce", "Pa", "Re"], "frac_coords": [[0.0945, 0.0945, 0.0945], [0.9055, 0.9055, 0.9055], [0.0000, 0.0000, 0.0000], [0.5000, 0.5000, 0.5000]]}

***

5.
{"formula": "CePaRe", "functional": "PBE-GGA", "state": "relaxed", "sg": "C2/m", "de_polymorph_mev_per_atom": 116, "cell": [[3.2276, -3.2320, 0.0000], [3.2276, 3.2320, 0.0000], [-1.6744, 0.0000, 6.4454]], "species": ["Ce", "Ce", "Pa", "Pa", "Re", "Re"], "frac_coords": [[0.0834, 0.0834, 0.3130], [0.9166, 0.9166, 0.6870], [0.4332, 0.4332, 0.7282], [0.5668, 0.5668, 0.2718], [0.0000, 0.5000, 0.0000], [0.5000, 0.0000, 0.0000]]}

***

6.
{"formula": "CePaRe", "functional": "PBE-GGA", "state": "relaxed", "sg": "P2_1/c", "de_polymorph_mev_per_atom": 79, "cell": [[5.6296, 0.0000, 0.0000], [0.0000, 9.0491, 0.0000], [-2.8952, 0.0000, 5.0552]], "species": ["Ce", "Ce", "Ce", "Ce", "Pa", "Pa", "Pa", "Pa", "Re", "Re", "Re", "Re"], "frac_coords": [[0.2078, 0.2436, 0.3440], [0.2078, 0.2564, 0.8440], [0.7922, 0.7436, 0.1560], [0.7922, 0.7564, 0.6560], [0.2693, 0.5978, 0.7071], [0.2693, 0.9022, 0.2071], [0.7307, 0.0978, 0.7929], [0.7307, 0.4022, 0.2929], [0.2653, 0.5624, 0.2114], [0.2653, 0.9376, 0.7114], [0.7347, 0.0624, 0.2886], [0.7347, 0.4376, 0.7886]]}

***

7.
{"formula": "CePa2Re", "functional": "PBE-GGA", "state": "relaxed", "sg": "P4/mmm", "de_polymorph_mev_per_atom": 0, "cell": [[3.4372, 0.0000, 0.0000], [0.0000, 3.4372, 0.0000], [0.0000, 0.0000, 7.8779]], "species": ["Ce", "Pa", "Pa", "Re"], "frac_coords": [[0.0000, 0.0000, 0.0000], [0.5000, 0.5000, 0.2805], [0.5000, 0.5000, 0.7195], [0.0000, 0.0000, 0.5000]]}

***

8.
{"formula": "CePaRe2", "functional": "PBE-GGA", "state": "relaxed", "sg": "P4/mmm", "de_polymorph_mev_per_atom": 0, "cell": [[3.4595, 0.0000, 0.0000], [0.0000, 3.4595, 0.0000], [0.0000, 0.0000, 7.0308]], "species": ["Ce", "Pa", "Re", "Re"], "frac_coords": [[0.0000, 0.0000, 0.0000], [0.0000, 0.0000, 0.5000], [0.5000, 0.5000, 0.2708], [0.5000, 0.5000, 0.7292]]}

***

9.
{"formula": "CePaReRh", "functional": "PBE-GGA", "state": "relaxed", "sg": "F-43m", "cell": [[0.0000, 3.4606, 3.4606], [3.4606, 0.0000, 3.4606], [3.4606, 3.4606, 0.0000]], "species": ["Ce", "Pa", "Re", "Rh"], "frac_coords": [[0.0000, 0.0000, 0.0000], [0.5000, 0.5000, 0.5000], [0.7500, 0.7500, 0.7500], [0.2500, 0.2500, 0.2500]]}

***

10.
{"formula": "CeScPaRe", "functional": "PBE-GGA", "state": "relaxed", "sg": "F-43m", "cell": [[0.0000, 3.4792, 3.4792], [3.4792, 0.0000, 3.4792], [3.4792, 3.4792, 0.0000]], "species": ["Ce", "Sc", "Pa", "Re"], "frac_coords": [[0.0000, 0.0000, 0.0000], [0.2500, 0.2500, 0.2500], [0.7500, 0.7500, 0.7500], [0.5000, 0.5000, 0.5000]]}

***

11.
{"formula": "CePaReTc", "functional": "PBE-GGA", "state": "relaxed", "sg": "F-43m", "cell": [[0.0000, 3.4605, 3.4605], [3.4605, 0.0000, 3.4605], [3.4605, 3.4605, 0.0000]], "species": ["Ce", "Pa", "Re", "Tc"], "frac_coords": [[0.0000, 0.0000, 0.0000], [0.5000, 0.5000, 0.5000], [0.2500, 0.2500, 0.2500], [0.7500, 0.7500, 0.7500]]}

***

12.
{"formula": "CePaZnRe", "functional": "PBE-GGA", "state": "relaxed", "sg": "F-43m", "cell": [[0.0000, 3.5016, 3.5016], [3.5016, 0.0000, 3.5016], [3.5016, 3.5016, 0.0000]], "species": ["Ce", "Pa", "Zn", "Re"], "frac_coords": [[0.0000, 0.0000, 0.0000], [0.5000, 0.5000, 0.5000], [0.2500, 0.2500, 0.2500], [0.7500, 0.7500, 0.7500]]}

***

13.
{"formula": "Ce2PaRh", "functional": "PBE-GGA", "state": "relaxed", "sg": "R-3m", "de_polymorph_mev_per_atom": 114, "cell": [[1.7287, 0.9981, 9.2830], [-1.7287, 0.9981, 9.2830], [0.0000, -1.9961, 9.2830]], "species": ["Ce", "Ce", "Pa", "Rh"], "frac_coords": [[0.2382, 0.2382, 0.2382], [0.7618, 0.7618, 0.7618], [0.0000, 0.0000, 0.0000], [0.5000, 0.5000, 0.5000]]}

***

14.
{"formula": "CePaRh4", "functional": "PBE-GGA", "state": "relaxed", "sg": "Pnma", "de_polymorph_mev_per_atom": 67, "cell": [[7.0246, 0.0000, 0.0000], [0.0000, 3.8584, 0.0000], [0.0000, 0.0000, 16.6923]], "species": ["Ce", "Ce", "Ce", "Ce", "Pa", "Pa", "Pa", "Pa", "Rh", "Rh", "Rh", "Rh", "Rh", "Rh", "Rh", "Rh", "Rh", "Rh", "Rh", "Rh", "Rh", "Rh", "Rh", "Rh"], "frac_coords": [[0.1805, 0.2500, 0.2153], [0.3195, 0.7500, 0.7153], [0.6805, 0.2500, 0.2847], [0.8195, 0.7500, 0.7847], [0.2013, 0.7500, 0.4704], [0.2987, 0.2500, 0.9704], [0.7013, 0.7500, 0.0296], [0.7987, 0.2500, 0.5296], [0.0413, 0.7500, 0.9353], [0.0473, 0.2500, 0.3714], [0.1484, 0.2500, 0.8171], [0.2408, 0.2500, 0.5884], [0.2592, 0.7500, 0.0884], [0.3516, 0.7500, 0.3171], [0.4527, 0.7500, 0.8714], [0.4587, 0.2500, 0.4353], [0.5413, 0.7500, 0.5647], [0.5473, 0.2500, 0.1286], [0.6484, 0.2500, 0.6829], [0.7408, 0.2500, 0.9116], [0.7592, 0.7500, 0.4116], [0.8516, 0.7500, 0.1829], [0.9527, 0.7500, 0.6286], [0.9587, 0.2500, 0.0647]]}

***

15.
{"formula": "Ce2PaRh", "functional": "PBE-GGA", "state": "relaxed", "sg": "P4/mmm", "de_polymorph_mev_per_atom": 0, "cell": [[3.4973, 0.0000, 0.0000], [0.0000, 3.4973, 0.0000], [0.0000, 0.0000, 7.5927]], "species": ["Ce", "Ce", "Pa", "Rh"], "frac_coords": [[0.0000, 0.0000, 0.2215], [0.0000, 0.0000, 0.7785], [0.5000, 0.5000, 0.5000], [0.5000, 0.5000, 0.0000]]}

***

16.
{"formula": "CePaRh4", "functional": "PBE-GGA", "state": "relaxed", "sg": "Pmma", "de_polymorph_mev_per_atom": 25, "cell": [[8.0909, 0.0000, 0.0000], [0.0000, 3.9122, 0.0000], [0.0000, 0.0000, 7.1289]], "species": ["Ce", "Ce", "Pa", "Pa", "Rh", "Rh", "Rh", "Rh", "Rh", "Rh", "Rh", "Rh"], "frac_coords": [[0.2500, 0.0000, 0.1915], [0.7500, 0.0000, 0.8085], [0.2500, 0.0000, 0.7545], [0.7500, 0.0000, 0.2455], [0.0000, 0.0000, 0.5000], [0.0263, 0.5000, 0.8107], [0.2500, 0.5000, 0.4624], [0.4737, 0.5000, 0.8107], [0.5000, 0.0000, 0.5000], [0.5263, 0.5000, 0.1893], [0.7500, 0.5000, 0.5376], [0.9737, 0.5000, 0.1893]]}

***

17.
{"formula": "Ce8PaRh2", "functional": "PBE-GGA", "state": "relaxed", "sg": "C2/m", "cell": [[6.6993, -3.6750, 0.0000], [6.6993, 3.6750, 0.0000], [-2.0114, 0.0000, 5.7334]], "species": ["Ce", "Ce", "Ce", "Ce", "Ce", "Ce", "Ce", "Ce", "Pa", "Rh", "Rh"], "frac_coords": [[0.0754, 0.0754, 0.3015], [0.1285, 0.6691, 0.1775], [0.3309, 0.8715, 0.8225], [0.3345, 0.3345, 0.7268], [0.6655, 0.6655, 0.2732], [0.6691, 0.1285, 0.1775], [0.8715, 0.3309, 0.8225], [0.9246, 0.9246, 0.6985], [0.5000, 0.5000, 0.5000], [0.2517, 0.2517, 0.1930], [0.7483, 0.7483, 0.8070]]}

***

18.
{"formula": "Ce4PaRh", "functional": "PBE-GGA", "state": "relaxed", "sg": "C2/c", "cell": [[4.4709, -6.5804, 0.0000], [4.4709, 6.5804, 0.0000], [-3.1668, 0.0000, 5.1033]], "species": ["Ce", "Ce", "Ce", "Ce", "Ce", "Ce", "Ce", "Ce", "Pa", "Pa", "Rh", "Rh"], "frac_coords": [[0.0642, 0.7128, 0.9090], [0.2713, 0.4112, 0.7342], [0.2872, 0.9358, 0.5910], [0.4112, 0.2713, 0.2342], [0.5888, 0.7287, 0.7658], [0.7128, 0.0642, 0.4090], [0.7287, 0.5888, 0.2658], [0.9358, 0.2872, 0.0910], [0.3453, 0.6547, 0.2500], [0.6547, 0.3453, 0.7500], [0.0039, 0.9961, 0.7500], [0.9961, 0.0039, 0.2500]]}

***

19.
{"formula": "CePa2Rh7", "functional": "PBE-GGA", "state": "relaxed", "sg": "Cmmm", "cell": [[3.5772, -6.9419, 0.0000], [3.5772, 6.9419, 0.0000], [0.0000, 0.0000, 4.3206]], "species": ["Ce", "Pa", "Pa", "Rh", "Rh", "Rh", "Rh", "Rh", "Rh", "Rh"], "frac_coords": [[0.0000, 0.0000, 0.0000], [0.3063, 0.6937, 0.5000], [0.6937, 0.3063, 0.5000], [0.0790, 0.2984, 0.5000], [0.1970, 0.8030, 0.0000], [0.2984, 0.0790, 0.5000], [0.5000, 0.5000, 0.5000], [0.7016, 0.9210, 0.5000], [0.8030, 0.1970, 0.0000], [0.9210, 0.7016, 0.5000]]}

***

20.
{"formula": "Ce3PaRh3", "functional": "PBE-GGA", "state": "relaxed", "sg": "C2/m", "cell": [[3.9699, -4.8772, 0.0000], [3.9699, 4.8772, 0.0000], [-0.9786, 0.0000, 8.2950]], "species": ["Ce", "Ce", "Ce", "Ce", "Ce", "Ce", "Pa", "Pa", "Rh", "Rh", "Rh", "Rh", "Rh", "Rh"], "frac_coords": [[0.1459, 0.8541, 0.0000], [0.3069, 0.6931, 0.5000], [0.3860, 0.3860, 0.1136], [0.6140, 0.6140, 0.8864], [0.6931, 0.3069, 0.5000], [0.8541, 0.1459, 0.0000], [0.1621, 0.1621, 0.6680], [0.8379, 0.8379, 0.3320], [0.0785, 0.5168, 0.7768], [0.1829, 0.1829, 0.3568], [0.4832, 0.9215, 0.2232], [0.5168, 0.0785, 0.7768], [0.8171, 0.8171, 0.6432], [0.9215, 0.4832, 0.2232]]}

***

21.
{"formula": "CePaRh4", "functional": "PBE-GGA", "state": "relaxed", "sg": "F-43m", "de_polymorph_mev_per_atom": 0, "cell": [[0.0000, 3.7687, 3.7687], [3.7687, 0.0000, 3.7687], [3.7687, 3.7687, 0.0000]], "species": ["Ce", "Pa", "Rh", "Rh", "Rh", "Rh"], "frac_coords": [[0.0000, 0.0000, 0.0000], [0.7500, 0.7500, 0.7500], [0.3750, 0.3750, 0.3750], [0.3750, 0.3750, 0.8749], [0.3750, 0.8749, 0.3750], [0.8749, 0.3750, 0.3750]]}

***

22.
{"formula": "Ce2PaRh9", "functional": "PBE-GGA", "state": "relaxed", "sg": "P4/mmm", "cell": [[4.0625, 0.0000, 0.0000], [0.0000, 4.0625, 0.0000], [0.0000, 0.0000, 12.1922]], "species": ["Ce", "Ce", "Pa", "Rh", "Rh", "Rh", "Rh", "Rh", "Rh", "Rh", "Rh", "Rh"], "frac_coords": [[0.0000, 0.0000, 0.1664], [0.0000, 0.0000, 0.8336], [0.0000, 0.0000, 0.5000], [0.0000, 0.5000, 0.0000], [0.0000, 0.5000, 0.3369], [0.0000, 0.5000, 0.6631], [0.5000, 0.0000, 0.0000], [0.5000, 0.0000, 0.3369], [0.5000, 0.0000, 0.6631], [0.5000, 0.5000, 0.1673], [0.5000, 0.5000, 0.5000], [0.5000, 0.5000, 0.8327]]}

***

23.
{"formula": "CePaRh6", "functional": "PBE-GGA", "state": "relaxed", "sg": "P4/mmm", "cell": [[4.0626, 0.0000, 0.0000], [0.0000, 4.0626, 0.0000], [0.0000, 0.0000, 8.1284]], "species": ["Ce", "Pa", "Rh", "Rh", "Rh", "Rh", "Rh", "Rh"], "frac_coords": [[0.0000, 0.0000, 0.0000], [0.0000, 0.0000, 0.5000], [0.0000, 0.5000, 0.2550], [0.0000, 0.5000, 0.7450], [0.5000, 0.0000, 0.2550], [0.5000, 0.0000, 0.7450], [0.5000, 0.5000, 0.0000], [0.5000, 0.5000, 0.5000]]}

***

24.
{"formula": "CePa3Rh12", "functional": "PBE-GGA", "state": "relaxed", "sg": "P4/mmm", "cell": [[4.0654, 0.0000, 0.0000], [0.0000, 4.0654, 0.0000], [0.0000, 0.0000, 16.2768]], "species": ["Ce", "Pa", "Pa", "Pa", "Rh", "Rh", "Rh", "Rh", "Rh", "Rh", "Rh", "Rh", "Rh", "Rh", "Rh", "Rh"], "frac_coords": [[0.0000, 0.0000, 0.0000], [0.0000, 0.0000, 0.2497], [0.0000, 0.0000, 0.5000], [0.0000, 0.0000, 0.7503], [0.0000, 0.5000, 0.1278], [0.0000, 0.5000, 0.3753], [0.0000, 0.5000, 0.6247], [0.0000, 0.5000, 0.8722], [0.5000, 0.0000, 0.1278], [0.5000, 0.0000, 0.3753], [0.5000, 0.0000, 0.6247], [0.5000, 0.0000, 0.8722], [0.5000, 0.5000, 0.0000], [0.5000, 0.5000, 0.2512], [0.5000, 0.5000, 0.5000], [0.5000, 0.5000, 0.7488]]}

***

25.
{"formula": "CePaRuRh", "functional": "PBE-GGA", "state": "relaxed", "sg": "F-43m", "de_polymorph_mev_per_atom": 195, "cell": [[0.0000, 3.4432, 3.4432], [3.4432, 0.0000, 3.4432], [3.4432, 3.4432, 0.0000]], "species": ["Ce", "Pa", "Ru", "Rh"], "frac_coords": [[0.0000, 0.0000, 0.0000], [0.5000, 0.5000, 0.5000], [0.7500, 0.7500, 0.7500], [0.2500, 0.2500, 0.2500]]}

***

no.,formation enthalpy at 0 K (eV per atom)
1,0.0140
2,0.0913
3,0.1391
4,0.3186
5,0.0964
6,0.0598
7,0.0469
8,0.1095
9,-0.2235
10,0.0436
11,0.0287
12,0.0392
13,-0.1926
14,-0.6314
15,-0.3064
16,-0.6739
17,-0.0739
18,-0.0597
19,-0.2573
20,-0.5635
21,-0.6988
22,-0.7193
23,-0.7621
24,-0.8338
25,-0.4656